No. 1
! PBE K2MnRe, optimized geometry; values from VASP
! - magnetic moment (μB/f.u.) = 3.1
! - excess energy over the best structure of this formula in the dataset (meV/atom) = 589
! - DFT formation energy (eV per atom) = 1.423
! - crystal system = monoclinic
&SYSTEM
  ibrav = 0, nat = 4, ntyp = 3
/
ATOMIC_SPECIES
K 39.10 K.upf
Mn 54.94 Mn.upf
Re 186.21 Re.upf
ATOMIC_POSITIONS angstrom
K 0.501 0.000 1.291
K 1.810 0.000 3.846
Mn -0.239 2.988 2.569
Re 1.394 2.988 0.000
CELL_PARAMETERS angstrom
2.789 0.000 0.000
0.000 5.977 0.000
-0.478 0.000 5.137

***

No. 2
! PBE K2MnRe, optimized geometry; values from VASP
! - magnetic moment (μB/f.u.) = 4.5
! - excess energy over the best structure of this formula in the dataset (meV/atom) = 1412
! - DFT formation energy (eV per atom) = 2.246
! - crystal system = cubic
&SYSTEM
  ibrav = 0, nat = 16, ntyp = 3
/
ATOMIC_SPECIES
K 39.10 K.upf
Mn 54.94 Mn.upf
Re 186.21 Re.upf
ATOMIC_POSITIONS angstrom
K 1.934 1.934 1.934
K 1.934 1.934 5.801
K 1.934 5.801 1.934
K 1.934 5.801 5.801
K 5.801 1.934 1.934
K 5.801 1.934 5.801
K 5.801 5.801 1.934
K 5.801 5.801 5.801
Mn 0.000 0.000 0.000
Mn 0.000 3.867 3.867
Mn 3.867 0.000 3.867
Mn 3.867 3.867 0.000
Re 0.000 0.000 3.867
Re 0.000 3.867 0.000
Re 3.867 0.000 0.000
Re 3.867 3.867 3.867
CELL_PARAMETERS angstrom
7.734 0.000 0.000
0.000 7.734 0.000
0.000 0.000 7.734

***

No. 3
! PBE K2MnRe, optimized geometry; values from VASP
! - magnetic moment (μB/f.u.) = 2.3
! - excess energy over the best structure of this formula in the dataset (meV/atom) = 0
! - DFT formation energy (eV per atom) = 0.834
! - crystal system = orthorhombic
&SYSTEM
  ibrav = 0, nat = 4, ntyp = 3
/
ATOMIC_SPECIES
K 39.10 K.upf
Mn 54.94 Mn.upf
Re 186.21 Re.upf
ATOMIC_POSITIONS angstrom
K 0.000 0.000 0.000
K 1.473 1.906 4.256
Mn 1.473 1.906 7.590
Re 0.000 0.000 6.960
CELL_PARAMETERS angstrom
2.947 0.000 0.000
0.000 3.811 0.000
0.000 0.000 10.280

***

No. 4
! PBE K2MnRe, optimized geometry; values from VASP
! - magnetic moment (μB/f.u.) = 2.1
! - excess energy over the best structure of this formula in the dataset (meV/atom) = 706
! - DFT formation energy (eV per atom) = 1.540
! - crystal system = tetragonal
&SYSTEM
  ibrav = 0, nat = 4, ntyp = 3
/
ATOMIC_SPECIES
K 39.10 K.upf
Mn 54.94 Mn.upf
Re 186.21 Re.upf
ATOMIC_POSITIONS angstrom
K 0.000 1.951 0.000
K 1.951 0.000 0.000
Mn 0.000 0.000 2.922
Re 1.951 1.951 2.922
CELL_PARAMETERS angstrom
3.903 0.000 0.000
0.000 3.903 0.000
0.000 0.000 5.845

***

No. 5
! PBE K4MnRe, optimized geometry; values from VASP
! - magnetic moment (μB/f.u.) = 1.3
! - DFT formation energy (eV per atom) = 1.641
! - crystal system = cubic
&SYSTEM
  ibrav = 0, nat = 6, ntyp = 3
/
ATOMIC_SPECIES
K 39.10 K.upf
Mn 54.94 Mn.upf
Re 186.21 Re.upf
ATOMIC_POSITIONS angstrom
K 1.240 1.240 1.240
K 3.700 3.700 1.240
K 3.700 1.240 3.700
K 1.240 3.700 3.700
Mn 7.410 7.410 7.410
Re 4.940 4.940 4.940
CELL_PARAMETERS angstrom
0.000 4.940 4.940
4.940 0.000 4.940
4.940 4.940 0.000

***

No. 6
! PBE KMn3Re, optimized geometry; values from VASP
! - magnetic moment (μB/f.u.) = 10.8
! - excess energy over the best structure of this formula in the dataset (meV/atom) = 0
! - DFT formation energy (eV per atom) = 1.106
! - crystal system = cubic
&SYSTEM
  ibrav = 0, nat = 5, ntyp = 3
/
ATOMIC_SPECIES
K 39.10 K.upf
Mn 54.94 Mn.upf
Re 186.21 Re.upf
ATOMIC_POSITIONS angstrom
K 0.000 0.000 0.000
Mn 0.000 2.455 2.455
Mn 2.455 0.000 2.455
Mn 2.455 2.455 0.000
Re 2.455 2.455 2.455
CELL_PARAMETERS angstrom
4.910 0.000 0.000
0.000 4.910 0.000
0.000 0.000 4.910

***

Question: The lowest magnetic moment belongs to which entry?
Answer: K4MnRe